[1]
LiPu2Si4Pt3 | PBE-GGA | optimized geometry

- uncorrected formation energy (eV per atom) = -0.794
- electronic total energy (eV/atom) = -7.83
- space-group type = P-4m2, No. 115

POSCAR file:
```
LiPu2Si4Pt3
1.0
4.198 0.000 0.000
0.000 4.198 0.000
0.000 0.000 9.944
Li Pu Si Pt
1 2 4 3
direct
0.000 0.000 0.000 Li
0.000 0.500 0.752 Pu
0.500 0.000 0.248 Pu
0.000 0.000 0.500 Si
0.000 0.500 0.136 Si
0.500 0.000 0.864 Si
0.500 0.500 0.500 Si
0.000 0.500 0.378 Pt
0.500 0.000 0.622 Pt
0.500 0.500 0.000 Pt
```

***

[2]
LiPuSnPt | PBE-GGA | optimized geometry

- electronic total energy (eV/atom) = -7.16
- space-group type = F-43m, No. 216

POSCAR file:
```
LiPuSnPt
1.0
0.000 3.401 3.401
3.401 0.000 3.401
3.401 3.401 0.000
Li Pu Sn Pt
1 1 1 1
direct
0.000 0.000 0.000 Li
0.750 0.750 0.750 Pu
0.250 0.250 0.250 Sn
0.500 0.500 0.500 Pt
```

***

[3]
SrLi2PuPt2 | PBE-GGA | optimized geometry

- electronic total energy (eV/atom) = -5.89
- space-group type = P-3m1, No. 164

POSCAR file:
```
SrLi2PuPt2
1.0
4.463 0.000 0.000
-2.232 3.865 0.000
0.000 0.000 7.493
Sr Li Pu Pt
1 2 1 2
direct
0.000 0.000 0.000 Sr
0.333 0.667 0.717 Li
0.667 0.333 0.283 Li
0.000 0.000 0.500 Pu
0.333 0.667 0.305 Pt
0.667 0.333 0.695 Pt
```

***

[4]
SrLiPuPt | PBE-GGA | optimized geometry

- electronic total energy (eV/atom) = -6.25
- space-group type = F-43m, No. 216

POSCAR file:
```
SrLiPuPt
1.0
0.000 3.647 3.647
3.647 0.000 3.647
3.647 3.647 0.000
Sr Li Pu Pt
1 1 1 1
direct
0.000 0.000 0.000 Sr
0.750 0.750 0.750 Li
0.500 0.500 0.500 Pu
0.250 0.250 0.250 Pt
```

***

[5]
LiTbPuPt | PBE-GGA | optimized geometry

- electronic total energy (eV/atom) = -7.18
- space-group type = F-43m, No. 216

POSCAR file:
```
LiTbPuPt
1.0
0.000 3.525 3.525
3.525 0.000 3.525
3.525 3.525 0.000
Li Tb Pu Pt
1 1 1 1
direct
0.000 0.000 0.000 Li
0.250 0.250 0.250 Tb
0.750 0.750 0.750 Pu
0.500 0.500 0.500 Pt
```

***

[6]
Li2TbPuPt2 | PBE-GGA | optimized geometry

- electronic total energy (eV/atom) = -6.46
- space-group type = P-3m1, No. 164

POSCAR file:
```
Li2TbPuPt2
1.0
4.407 0.000 0.000
-2.203 3.816 0.000
0.000 0.000 6.920
Li Tb Pu Pt
2 1 1 2
direct
0.333 0.667 0.246 Li
0.667 0.333 0.754 Li
0.000 0.000 0.000 Tb
0.000 0.000 0.500 Pu
0.333 0.667 0.743 Pt
0.667 0.333 0.257 Pt
```

***

[7]
LiPuThPt | PBE-GGA | optimized geometry

- electronic total energy (eV/atom) = -7.76
- space-group type = F-43m, No. 216

POSCAR file:
```
LiPuThPt
1.0
0.000 3.576 3.576
3.576 0.000 3.576
3.576 3.576 0.000
Li Pu Th Pt
1 1 1 1
direct
0.000 0.000 0.000 Li
0.250 0.250 0.250 Pu
0.750 0.750 0.750 Th
0.500 0.500 0.500 Pt
```

***

[8]
Li2TmPuPt2 | PBE-GGA | optimized geometry

- electronic total energy (eV/atom) = -6.44
- space-group type = P-3m1, No. 164

POSCAR file:
```
Li2TmPuPt2
1.0
4.390 0.000 0.000
-2.195 3.802 0.000
0.000 0.000 6.834
Li Tm Pu Pt
2 1 1 2
direct
0.333 0.667 0.232 Li
0.667 0.333 0.768 Li
0.000 0.000 0.000 Tm
0.000 0.000 0.500 Pu
0.333 0.667 0.752 Pt
0.667 0.333 0.248 Pt
```

***

[9]
Li2YPuPt2 | PBE-GGA | optimized geometry

- electronic total energy (eV/atom) = -6.76
- space-group type = P-3m1, No. 164

POSCAR file:
```
Li2YPuPt2
1.0
4.402 0.000 0.000
-2.201 3.812 0.000
0.000 0.000 6.923
Li Y Pu Pt
2 1 1 2
direct
0.333 0.667 0.244 Li
0.667 0.333 0.756 Li
0.000 0.000 0.000 Y
0.000 0.000 0.500 Pu
0.333 0.667 0.742 Pt
0.667 0.333 0.258 Pt
```

***

[10]
RbLi3Pt | PBE-GGA | optimized geometry

- electronic total energy (eV/atom) = -1.63
- space-group type = Pm-3m, No. 221
- E above lowest polymorph (meV/atom) = 1062

POSCAR file:
```
RbLi3Pt
1.0
4.693 0.000 0.000
0.000 4.693 0.000
0.000 0.000 4.693
Rb Li Pt
1 3 1
direct
0.000 0.000 0.000 Rb
0.000 0.000 0.500 Li
0.000 0.500 0.000 Li
0.500 0.000 0.000 Li
0.500 0.500 0.500 Pt
```

***

[11]
Rb2LiPt | PBE-GGA | optimized geometry

- electronic total energy (eV/atom) = -2.19
- space-group type = Fm-3m, No. 225
- E above lowest polymorph (meV/atom) = 0

POSCAR file:
```
Rb2LiPt
1.0
0.000 4.069 4.069
4.069 0.000 4.069
4.069 4.069 0.000
Rb Li Pt
2 1 1
direct
0.250 0.250 0.250 Rb
0.750 0.750 0.750 Rb
0.000 0.000 0.000 Li
0.500 0.500 0.500 Pt
```

***

[12]
RbLiPt3 | PBE-GGA | optimized geometry

- electronic total energy (eV/atom) = -3.67
- space-group type = Pm-3m, No. 221
- E above lowest polymorph (meV/atom) = 0

POSCAR file:
```
RbLiPt3
1.0
4.580 0.000 0.000
0.000 4.580 0.000
0.000 0.000 4.580
Rb Li Pt
1 1 3
direct
0.000 0.000 0.000 Rb
0.500 0.500 0.500 Li
0.000 0.500 0.500 Pt
0.500 0.000 0.500 Pt
0.500 0.500 0.000 Pt
```

***

[13]
RbLi3Pt | PBE-GGA | optimized geometry

- electronic total energy (eV/atom) = -2.69
- space-group type = Pm-3m, No. 221
- E above lowest polymorph (meV/atom) = 0

POSCAR file:
```
RbLi3Pt
1.0
5.053 0.000 0.000
0.000 5.053 0.000
0.000 0.000 5.053
Rb Li Pt
1 3 1
direct
0.000 0.000 0.000 Rb
0.000 0.500 0.500 Li
0.500 0.000 0.500 Li
0.500 0.500 0.000 Li
0.500 0.500 0.500 Pt
```

***

[14]
RbLiPt3 | PBE-GGA | optimized geometry

- electronic total energy (eV/atom) = -2.39
- space-group type = Pm-3m, No. 221
- E above lowest polymorph (meV/atom) = 1273

POSCAR file:
```
RbLiPt3
1.0
5.184 0.000 0.000
0.000 5.184 0.000
0.000 0.000 5.184
Rb Li Pt
1 1 3
direct
0.000 0.000 0.000 Rb
0.500 0.500 0.500 Li
0.000 0.000 0.500 Pt
0.000 0.500 0.000 Pt
0.500 0.000 0.000 Pt
```

***

[15]
Rb2LiPt | PBE-GGA | optimized geometry

- electronic total energy (eV/atom) = -2.02
- space-group type = I-42d, No. 122
- E above lowest polymorph (meV/atom) = 171

POSCAR file:
```
Rb2LiPt
1.0
-2.469 2.469 11.286
2.469 -2.469 11.286
2.469 2.469 -11.286
Rb Li Pt
4 2 2
direct
0.113 0.625 0.988 Rb
0.375 0.363 0.488 Rb
0.637 0.125 0.012 Rb
0.875 0.887 0.512 Rb
0.250 0.750 0.500 Li
0.500 0.500 0.000 Li
0.000 0.000 0.000 Pt
0.750 0.250 0.500 Pt
```

***

[16]
Rb3LiPt | PBE-GGA | optimized geometry

- electronic total energy (eV/atom) = -2.01
- space-group type = Pm-3m, No. 221
- E above lowest polymorph (meV/atom) = 0

POSCAR file:
```
Rb3LiPt
1.0
6.534 0.000 0.000
0.000 6.534 0.000
0.000 0.000 6.534
Rb Li Pt
3 1 1
direct
0.000 0.000 0.500 Rb
0.000 0.500 0.000 Rb
0.500 0.000 0.000 Rb
0.500 0.500 0.500 Li
0.000 0.000 0.000 Pt
```

***

[17]
RbLiRePt2 | PBE-GGA | optimized geometry

- electronic total energy (eV/atom) = -4.52
- space-group type = P4/mmm, No. 123

POSCAR file:
```
RbLiRePt2
1.0
4.897 0.000 0.000
0.000 4.897 0.000
0.000 0.000 5.753
Rb Li Re Pt
1 1 1 2
direct
0.000 0.000 0.000 Rb
0.500 0.500 0.000 Li
0.000 0.000 0.500 Re
0.000 0.500 0.500 Pt
0.500 0.000 0.500 Pt
```

***

[18]
RbLi2SiPt | PBE-GGA | optimized geometry

- uncorrected formation energy (eV per atom) = -0.328
- electronic total energy (eV/atom) = -3.58
- space-group type = P4/mmm, No. 123

POSCAR file:
```
RbLi2SiPt
1.0
5.141 0.000 0.000
0.000 5.141 0.000
0.000 0.000 4.581
Rb Li Si Pt
1 2 1 1
direct
0.000 0.000 0.000 Rb
0.000 0.500 0.500 Li
0.500 0.000 0.500 Li
0.500 0.500 0.000 Si
0.500 0.500 0.500 Pt
```

***

[19]
Rb2LiSnPt | PBE-GGA | optimized geometry

- electronic total energy (eV/atom) = -2.13
- space-group type = P4/mmm, No. 123

POSCAR file:
```
Rb2LiSnPt
1.0
6.862 0.000 0.000
0.000 6.862 0.000
0.000 0.000 5.245
Rb Li Sn Pt
2 1 1 1
direct
0.000 0.500 0.000 Rb
0.500 0.000 0.000 Rb
0.000 0.000 0.500 Li
0.000 0.000 0.000 Sn
0.500 0.500 0.500 Pt
```

***

[20]
RbSr2LiPt | PBE-GGA | optimized geometry

- electronic total energy (eV/atom) = -2.62
- space-group type = P4/mmm, No. 123
- E above lowest polymorph (meV/atom) = 75

POSCAR file:
```
RbSr2LiPt
1.0
5.920 0.000 0.000
0.000 5.920 0.000
0.000 0.000 6.564
Rb Sr Li Pt
1 2 1 1
direct
0.000 0.000 0.000 Rb
0.000 0.500 0.500 Sr
0.500 0.000 0.500 Sr
0.500 0.500 0.000 Li
0.000 0.000 0.500 Pt
```